[1]
First-principles (PBEsol) data for a geometry-optimized LaMo2Pb structure, as listed in Alexandria.

Cell: 3.6718 3.6718 6.6420 Å, 90.00 90.00 90.00°
Fractional positions:
Mo: 0.0000 0.0000 0.8187
Mo: 0.0000 0.0000 0.1813
La: 0.5000 0.5000 0.5000
Pb: 0.5000 0.5000 0.0000

Space-group type = P4/mmm
E_form = 0.59 eV/atom
Crystal system = tetragonal

[2]
First-principles (PBEsol) data for a geometry-optimized LaMo12PbSe16 structure, as listed in Alexandria.

Cell: 9.4039 9.4039 9.6481 Å, 60.83 60.83 60.00°
Fractional positions:
Mo: 0.5484 0.8737 0.8902
Mo: 0.1875 0.0481 0.3893
Mo: 0.9519 0.6249 0.6107
Mo: 0.0481 0.3751 0.3893
Mo: 0.6249 0.8125 0.6107
Mo: 0.6877 0.5484 0.8902
Mo: 0.3751 0.1875 0.3893
Mo: 0.4516 0.1263 0.1098
Mo: 0.1263 0.3123 0.1098
Mo: 0.8737 0.6877 0.8902
Mo: 0.3123 0.4516 0.1098
Mo: 0.8125 0.9519 0.6107
Se: 0.8728 0.2476 0.3718
Se: 0.6263 0.2542 0.1250
Se: 0.9945 0.6263 0.1250
Se: 0.8784 0.8784 0.3647
Se: 0.2542 0.9945 0.1250
Se: 0.7524 0.4922 0.6282
Se: 0.7458 0.0055 0.8750
Se: 0.1272 0.7524 0.6282
Se: 0.6210 0.6210 0.1371
Se: 0.5078 0.8728 0.3718
Se: 0.2476 0.5078 0.3718
Se: 0.0055 0.3737 0.8750
Se: 0.4922 0.1272 0.6282
Se: 0.3790 0.3790 0.8629
Se: 0.3737 0.7458 0.8750
Se: 0.1216 0.1216 0.6353
Pb: 0.0000 0.0000 0.0000
La: 0.5000 0.5000 0.5000

Space-group type = R-3
Formation energy (no corrections) = -663 meV per atom
Crystal system = trigonal

[3]
First-principles (PBEsol) data for a geometry-optimized La3MoPd structure, as listed in Alexandria.

Cell: 5.4804 5.4804 5.4804 Å, 90.00 90.00 90.00°
Fractional positions:
La: 0.5000 0.0000 0.0000
La: 0.0000 0.0000 0.5000
La: 0.0000 0.5000 0.0000
Mo: 0.5000 0.5000 0.5000
Pd: 0.0000 0.0000 0.0000

Space-group type = Pm-3m
E_form = 0.70 eV/atom
Crystal system = cubic

[4]
First-principles (PBEsol) data for a geometry-optimized La4MoPt structure, as listed in Alexandria.

Cell: 6.0054 6.0054 6.0054 Å, 60.00 60.00 60.00°
Fractional positions:
La: 0.8747 0.3751 0.3751
La: 0.3751 0.3751 0.8747
La: 0.3751 0.8747 0.3751
La: 0.3751 0.3751 0.3751
Pt: 0.0000 0.0000 0.0000
Mo: 0.7500 0.7500 0.7500

Space-group type = F-43m
E_form = 0.83 eV/atom
Crystal system = cubic

[5]
First-principles (PBEsol) data for a geometry-optimized LaMo2Pt structure, as listed in Alexandria.

Cell: 3.3156 4.9333 5.4500 Å, 116.91 107.71 90.00°
Fractional positions:
Mo: 0.7271 0.2271 0.4542
Mo: 0.0292 0.0292 0.0583
Pt: 0.4838 0.4838 0.9676
La: 0.2599 0.7599 0.5198

Space-group type = Imm2
E_form = 0.24 eV/atom
Crystal system = orthorhombic

[6]
First-principles (PBEsol) data for a geometry-optimized LaMoPt4 structure, as listed in Alexandria.

Cell: 5.3340 5.3340 5.3340 Å, 60.00 60.00 60.00°
Fractional positions:
La: 0.7500 0.7500 0.7500
Pt: 0.3741 0.8778 0.3741
Pt: 0.3741 0.3741 0.3741
Pt: 0.3741 0.3741 0.8778
Pt: 0.8778 0.3741 0.3741
Mo: 0.0000 0.0000 0.0000

Space-group type = F-43m
E_form = -0.29 eV/atom
Crystal system = cubic

[7]
First-principles (PBEsol) data for a geometry-optimized LaTc2MoPt structure, as listed in Alexandria.

Cell: 4.7724 4.7712 4.7712 Å, 90.00 90.00 90.00°
Fractional positions:
Tc: 0.0000 0.5000 0.0000
Tc: 0.0000 0.0000 0.5000
Mo: 0.5000 0.0000 0.0000
Pt: 0.0000 0.0000 0.0000
La: 0.5000 0.5000 0.5000

Space-group type = P4/mmm
E_form = 1.29 eV/atom
Crystal system = tetragonal

[8]
First-principles (PBEsol) data for a geometry-optimized RbLaMo2 structure, as listed in Alexandria.

Cell: 5.0890 5.0890 5.0890 Å, 60.00 60.00 60.00°
Fractional positions:
La: 0.5000 0.5000 0.5000
Mo: 0.2500 0.2500 0.2500
Mo: 0.7500 0.7500 0.7500
Rb: 0.0000 0.0000 0.0000

Space-group type = Fm-3m
E_form = 1.95 eV/atom
Crystal system = cubic

[9]
First-principles (PBEsol) data for a geometry-optimized RbLaMo3 structure, as listed in Alexandria.

Cell: 4.9162 4.9162 4.9162 Å, 90.00 90.00 90.00°
Fractional positions:
La: 0.0000 0.0000 0.0000
Rb: 0.5000 0.5000 0.5000
Mo: 0.0000 0.5000 0.0000
Mo: 0.0000 0.0000 0.5000
Mo: 0.5000 0.0000 0.0000

Space-group type = Pm-3m
E_form = 2.47 eV/atom
Crystal system = cubic

[10]
First-principles (PBEsol) data for a geometry-optimized LaMoRh structure, as listed in Alexandria.

Cell: 4.4673 4.4673 4.4673 Å, 60.00 60.00 60.00°
Fractional positions:
La: 0.2500 0.2500 0.2500
Rh: 0.5000 0.5000 0.5000
Mo: 0.0000 0.0000 0.0000

Space-group type = F-43m
E_form = 1.11 eV/atom
Crystal system = cubic

[11]
First-principles (PBEsol) data for a geometry-optimized LaMo2Rh structure, as listed in Alexandria.

Cell: 3.1706 3.1706 7.2894 Å, 90.00 90.00 90.00°
Fractional positions:
Mo: 0.5000 0.5000 0.2403
Mo: 0.0000 0.0000 0.0564
La: 0.5000 0.5000 0.7493
Rh: 0.0000 0.0000 0.4539

Space-group type = P4mm
Energy above the lowest structure with this stoichiometry = 0.000 eV per atom
E_form = 0.15 eV/atom
Crystal system = tetragonal

[12]
First-principles (PBEsol) data for a geometry-optimized LaMo2Rh structure, as listed in Alexandria.

Cell: 2.8078 5.2174 5.5331 Å, 118.13 90.00 90.00°
Fractional positions:
Rh: 0.5000 0.0000 0.0000
Mo: 0.0000 0.5000 0.5000
Mo: 0.0000 0.0000 0.5000
La: 0.5000 0.5000 0.0000

Space-group type = Cmmm
Energy above the lowest structure with this stoichiometry = 0.384 eV per atom
E_form = 0.53 eV/atom
Crystal system = orthorhombic

M_tot readings, ordered: 0.000 0.000 2.357 0.763 0.000 3.143 0.286 3.614 0.211 1.948 0.000 0.000 μB/f.u.